Version one
First-principles (SCAN) data for a crystal of BaCaIn2W relaxed with PBEsol, as listed in Alexandria.

Lattice parameters (Å, degrees): 5.5453 5.5453 5.9233 90.00 90.00 90.00
Closest atoms and distances in Å follow each position.
Space group P4/mmm (No. 123)
Inequivalent atoms, fractional coordinates:
Ba (0.0000, 0.0000, 0.0000) x1  2 Ca 2.96
Ca (0.0000, 0.0000, 0.5000) x1  4 In 2.77, 2 Ba 2.96
In (0.0000, 0.5000, 0.5000) x2  2 Ca 2.77
W (0.5000, 0.5000, 0.0000) x1  4 Ba 3.92, 8 In 4.06

Total magnetization (μB per cell): 4.08

Version two
First-principles (SCAN) data for a crystal of BaCaIn2W relaxed with PBEsol, as listed in Alexandria.

Lattice parameters (Å, degrees): 5.8584 5.8584 5.9393 90.00 90.00 90.00
Closest atoms and distances in Å follow each position.
Space group P4/mmm (No. 123)
Inequivalent atoms, fractional coordinates:
Ba (0.0000, 0.0000, 0.0000) x1  4 In 2.93, 2 Ca 2.97
Ca (0.0000, 0.0000, 0.5000) x1  2 Ba 2.97
In (0.0000, 0.5000, 0.0000) x2  2 Ba 2.93
W (0.5000, 0.5000, 0.5000) x1  4 Ca 4.14, 8 In 4.17

Total magnetization (μB per cell): 3.50

Most favorable structure: version one. The second most favorable one is 465 meV per atom above it.

Version one
First-principles (SCAN) data for a crystal of KBa2Ca relaxed with PBEsol, as listed in Alexandria.

Lattice parameters (Å, degrees): 9.6665 9.6665 9.6665 90.00 90.00 90.00
Closest atoms and distances in Å follow each position.
Space group Fm-3m (No. 225)
Inequivalent atoms, fractional coordinates:
K (0.0000, 0.0000, 0.0000) x4  8 Ba 4.19
Ba (0.2500, 0.2500, 0.2500) x8  4 K 4.19, 4 Ca 4.19
Ca (0.0000, 0.0000, 0.5000) x4  8 Ba 4.19

Total magnetization (μB per cell): 4.12

Version two
First-principles (SCAN) data for a crystal of KBa2Ca relaxed with PBEsol, as listed in Alexandria.

Lattice parameters (Å, degrees): 6.9982 6.9982 4.5613 90.00 90.00 90.00
Closest atoms and distances in Å follow each position.
Space group P4/mmm (No. 123)
Inequivalent atoms, fractional coordinates:
K (0.0000, 0.0000, 0.0000) x1  8 Ba 4.18, 2 K 4.56
Ba (0.0000, 0.5000, 0.5000) x2  4 K 4.18, 4 Ca 4.18, 2 Ba 4.56
Ca (0.5000, 0.5000, 0.0000) x1  8 Ba 4.18, 2 Ca 4.56

Total magnetization (μB per cell): 0.67

Version three
First-principles (SCAN) data for a crystal of KBa2Ca relaxed with PBEsol, as listed in Alexandria.

Lattice parameters (Å, degrees): 4.2277 4.2277 42.8611 90.00 90.00 120.00
Closest atoms and distances in Å follow each position.
Space group R-3m (No. 166, hexagonal axes)
Inequivalent atoms, fractional coordinates:
K (0.0000, 0.0000, 0.0000) x3  6 K 4.23, 6 Ba 4.57
Ba (0.0000, 0.0000, 0.2433) x6  3 Ca 4.09, 6 Ba 4.23, 3 K 4.57
Ca (0.0000, 0.0000, 0.5000) x3  6 Ba 4.09, 6 Ca 4.23

Total magnetization (μB per cell): 0.50

Version four
First-principles (SCAN) data for a crystal of KBa2Ca relaxed with PBEsol, as listed in Alexandria.

Lattice parameters (Å, degrees): 4.7231 6.7184 13.9018 90.00 90.00 90.00
Closest atoms and distances in Å follow each position.
Space group Cmmm (No. 65)
Inequivalent atoms, fractional coordinates:
K (0.0000, 0.0000, 0.0000) x2  4 K 4.11, 4 Ba 4.44
Ba (0.0000, 0.5000, 0.2706) x4  2 Ca 3.97, 4 Ba 4.11, 2 K 4.44
Ca (0.0000, 0.0000, 0.5000) x2  4 Ba 3.97, 4 Ca 4.11

Total magnetization (μB per cell): 0.48

Most favorable structure: version four. The second most favorable one is 6 meV per atom above it.

Version one
First-principles (SCAN) data for a crystal of KBa2Ca relaxed with PBEsol, as listed in Alexandria.

Lattice parameters (Å, degrees): 4.1178 6.8729 7.8822 90.00 98.47 90.00
Closest atoms and distances in Å follow each position.
Space group Pm (No. 6)
Inequivalent atoms, fractional coordinates:
K (0.0000, 0.0000, 0.0000) x1  2 K 4.12, 5 Ba 4.13-4.55, 2 Ca 4.14
Ba (0.4699, 0.0000, 0.5131) x1  4 Ba 4.12-4.21, 3 K 4.13-4.55, 2 Ca 4.13
Ba (0.7108, 0.5000, 0.2487) x1  2 Ca 3.98-4.36, 4 Ba 4.12-4.21, 2 K 4.21
Ca (0.1600, 0.5000, 0.7317) x1  4 Ba 3.98-4.36, 2 Ca 4.12, 2 K 4.14

Total magnetization (μB per cell): 0.13

Version two
First-principles (SCAN) data for a crystal of KBa2Ca relaxed with PBEsol, as listed in Alexandria.

Lattice parameters (Å, degrees): 4.2389 4.2389 12.6423 90.00 90.00 90.00
Closest atoms and distances in Å follow each position.
Space group P4/mmm (No. 123)
Inequivalent atoms, fractional coordinates:
K (0.0000, 0.0000, 0.0000) x1  4 K 4.24, 8 Ba 4.60
Ba (0.5000, 0.5000, 0.2755) x2  4 Ca 4.13, 4 Ba 4.24, 4 K 4.60
Ca (0.0000, 0.0000, 0.5000) x1  8 Ba 4.13, 4 Ca 4.24

Total magnetization (μB per cell): 0.32

Version three
First-principles (SCAN) data for a crystal of KBa2Ca relaxed with PBEsol, as listed in Alexandria.

Lattice parameters (Å, degrees): 4.7540 6.6996 13.8362 90.00 90.00 90.00
Closest atoms and distances in Å follow each position.
Space group Cmm2 (No. 35)
Inequivalent atoms, fractional coordinates:
K (0.0000, 0.0000, 0.0000) x2  4 K 4.11, 2 Ca 4.19, 2 Ba 4.44
Ba (0.0000, 0.0000, 0.4772) x2  2 Ca 3.95, 6 Ba 4.11-4.21
Ba (0.0000, 0.5000, 0.7286) x2  6 Ba 4.11-4.21, 2 K 4.44
Ca (0.0000, 0.5000, 0.2490) x2  2 Ba 3.95, 4 Ca 4.11, 2 K 4.19

Total magnetization (μB per cell): 0.45

Most favorable structure: version two. The second most favorable one is 13 meV per atom above it.

Version one
First-principles (SCAN) data for a crystal of Ba2CaLa relaxed with PBEsol, as listed in Alexandria.

Lattice parameters (Å, degrees): 3.9392 5.7187 8.0812 90.00 90.00 90.00
Closest atoms and distances in Å follow each position.
Space group Pmm2 (No. 25)
Inequivalent atoms, fractional coordinates:
Ba (0.0000, 0.0000, 0.0000) x1  1 Ca 3.73, 6 Ba 3.94-4.16, 4 La 3.96
Ba (0.5000, 0.5000, 0.2825) x1  2 La 3.89-4.19, 6 Ba 3.94-4.16, 4 Ca 4.04
Ca (0.0000, 0.0000, 0.5385) x1  5 Ba 3.73-4.04, 4 La 3.92, 2 Ca 3.94
La (0.5000, 0.5000, 0.7644) x1  6 Ba 3.89-4.19, 4 Ca 3.92, 2 La 3.94

Total magnetization (μB per cell): 1.00

Version two
First-principles (SCAN) data for a crystal of Ba2CaLa relaxed with PBEsol, as listed in Alexandria.

Lattice parameters (Å, degrees): 4.4014 6.3677 12.9664 90.00 90.00 90.00
Closest atoms and distances in Å follow each position.
Space group Cmmm (No. 65)
Inequivalent atoms, fractional coordinates:
Ba (0.0000, 0.0000, 0.2457) x4  4 Ba 3.87, 2 La 3.87, 2 Ca 3.96
Ca (0.0000, 0.5000, 0.5000) x2  4 Ca 3.87, 4 Ba 3.96
La (0.0000, 0.5000, 0.0000) x2  4 La 3.87, 4 Ba 3.87

Total magnetization (μB per cell): 0.03

Most favorable structure: version two. The second most favorable one is 17 meV per atom above it.

Version one
First-principles (SCAN) data for a crystal of Ba2Li2Ca relaxed with PBEsol, as listed in Alexandria.

Lattice parameters (Å, degrees): 9.1912 9.1912 4.9351 90.00 90.00 90.00
Closest atoms and distances in Å follow each position.
Space group P4/mbm (No. 127)
Inequivalent atoms, fractional coordinates:
Ba (0.1779, 0.3221, 0.0000) x4  6 Li 3.63-3.71
Li (0.1172, 0.6172, 0.5000) x4  1 Li 3.05
Ca (0.0000, 0.0000, 0.5000) x2  4 Li 3.68

Total magnetization (μB per cell): 0.17

Version two
First-principles (SCAN) data for a crystal of Ba2Li2Ca relaxed with PBEsol, as listed in Alexandria.

Lattice parameters (Å, degrees): 4.0352 4.0352 24.8688 90.00 90.00 90.00
Closest atoms and distances in Å follow each position.
Space group I4/mmm (No. 139)
Inequivalent atoms, fractional coordinates:
Ba (0.0000, 0.0000, 0.1250) x4  4 Li 3.71, 4 Ba 4.04
Li (0.0000, 0.5000, 0.2500) x4  4 Li 2.85
Ca (0.0000, 0.0000, 0.5000) x2  4 Ca 4.04, 8 Ba 4.22

Total magnetization (μB per cell): 0.78

Version three
First-principles (SCAN) data for a crystal of Ba2Li2Ca relaxed with PBEsol, as listed in Alexandria.

Lattice parameters (Å, degrees): 10.1676 10.1676 3.8181 90.00 90.00 90.00
Closest atoms and distances in Å follow each position.
Space group P4/mbm (No. 127)
Inequivalent atoms, fractional coordinates:
Ba (0.1367, 0.3633, 0.0000) x4  6 Li 3.46-3.60, 2 Ba 3.82
Li (0.1623, 0.6623, 0.5000) x4  6 Ba 3.46-3.60, 2 Li 3.82
Ca (0.0000, 0.0000, 0.0000) x2  2 Ca 3.82, 4 Ba 3.95, 8 Li 4.26

Total magnetization (μB per cell): 1.32

Most favorable structure: version one. The second most favorable one is 56 meV per atom above it.

Version one
First-principles (SCAN) data for a crystal of BaCaMg2 relaxed with PBEsol, as listed in Alexandria.

Lattice parameters (Å, degrees): 8.2025 8.2025 8.2025 90.00 90.00 90.00
Closest atoms and distances in Å follow each position.
Space group Fm-3m (No. 225)
Inequivalent atoms, fractional coordinates:
Ba (0.0000, 0.0000, 0.0000) x4  8 Mg 3.55
Ca (0.0000, 0.0000, 0.5000) x4  8 Mg 3.55
Mg (0.2500, 0.2500, 0.2500) x8  4 Ba 3.55, 4 Ca 3.55

Total magnetization (μB per cell): 0.00

Version two
First-principles (SCAN) data for a crystal of BaCaMg2 relaxed with PBEsol, as listed in Alexandria.

Lattice parameters (Å, degrees): 4.0992 4.0992 8.2324 90.00 90.00 90.00
Closest atoms and distances in Å follow each position.
Space group P4/mmm (No. 123)
Inequivalent atoms, fractional coordinates:
Ba (0.0000, 0.0000, 0.0000) x1  8 Mg 3.72, 4 Ba 4.10, 2 Ca 4.12
Ca (0.0000, 0.0000, 0.5000) x1  8 Mg 3.41
Mg (0.5000, 0.5000, 0.2827) x2  4 Ca 3.41, 1 Mg 3.58, 4 Ba 3.72

Total magnetization (μB per cell): 0.03

Version three
First-principles (SCAN) data for a crystal of BaCaMg2 relaxed with PBEsol, as listed in Alexandria.

Lattice parameters (Å, degrees): 12.9470 3.7695 6.0832 90.00 111.17 90.00
Closest atoms and distances in Å follow each position.
Space group Cm (No. 8)
Inequivalent atoms, fractional coordinates:
Ba (0.0000, 0.0000, 0.0000) x2  7 Mg 3.60-3.75, 2 Ba 3.77, 2 Ca 3.90-3.93
Ca (0.2040, 0.0000, 0.6539) x2  7 Mg 3.56-3.79, 2 Ca 3.77, 2 Ba 3.90-3.93
Mg (0.2588, 0.5000, 0.2040) x2  2 Mg 3.10
Mg (0.4542, 0.0000, 0.4694) x2  2 Mg 3.10

Total magnetization (μB per cell): 0.34

Version four
First-principles (SCAN) data for a crystal of BaCaMg2 relaxed with PBEsol, as listed in Alexandria.

Lattice parameters (Å, degrees): 5.8625 5.8625 4.0246 90.00 90.00 90.00
Closest atoms and distances in Å follow each position.
Space group P4/mmm (No. 123)
Inequivalent atoms, fractional coordinates:
Ba (0.0000, 0.0000, 0.0000) x1  8 Mg 3.56
Ca (0.5000, 0.5000, 0.0000) x1  8 Mg 3.56
Mg (0.0000, 0.5000, 0.5000) x2  4 Ba 3.56, 4 Ca 3.56

Total magnetization (μB per cell): 0.07

Most favorable structure: version two. The second most favorable one is 18 meV per atom above it.